No. 1
A plane-wave DFT calculation with PBE-GGA was carried out for crystalline Na2LiPbO4 at its relaxed geometry.

Unit cell a=6.6698 b=6.6698 c=6.6698 alpha=122.63 beta=119.72 gamma=88.00
Element x y z (fractional)
Na (0.0000, 0.0000, 0.0000)
Na (0.5000, 0.0000, 0.0000)
Na (0.5000, 0.0000, 0.5000)
Na (0.5000, 0.5000, 0.5000)
Li (0.0000, 0.5000, 0.5000)
Li (0.5000, 0.5000, 0.0000)
Pb (0.0000, 0.0000, 0.5000)
Pb (0.0000, 0.5000, 0.0000)
O (0.2160, 0.2369, 0.9791)
O (0.2311, 0.2810, 0.5499)
O (0.2311, 0.6812, 0.9501)
O (0.2423, 0.7631, 0.4791)
O (0.7577, 0.2369, 0.5209)
O (0.7689, 0.3188, 0.0499)
O (0.7689, 0.7190, 0.4501)
O (0.7840, 0.7631, 0.0209)

Results
Total DFT energy (no corrections) = -75.7 eV per cell

No. 2
A plane-wave DFT calculation with PBE-GGA was carried out for crystalline NaLi2PbO4 at its relaxed geometry.

Unit cell a=5.3565 b=5.3678 c=7.3714 alpha=90.00 beta=90.00 gamma=90.00
Element x y z (fractional)
Na (0.0000, 0.0000, 0.0000)
Na (0.5000, 0.5000, 0.5000)
Li (0.0000, 0.5000, 0.2500)
Li (0.0000, 0.5000, 0.7500)
Li (0.5000, 0.0000, 0.2500)
Li (0.5000, 0.0000, 0.7500)
Pb (0.0000, 0.0000, 0.5000)
Pb (0.5000, 0.5000, 0.0000)
O (0.2305, 0.2306, 0.3421)
O (0.2305, 0.7694, 0.6579)
O (0.2695, 0.2694, 0.8421)
O (0.2695, 0.7306, 0.1579)
O (0.7305, 0.2694, 0.1579)
O (0.7305, 0.7306, 0.8421)
O (0.7695, 0.2306, 0.6579)
O (0.7695, 0.7694, 0.3421)

Results
Total DFT energy (no corrections) = -76.6 eV per cell

No. 3
A plane-wave DFT calculation with PBE-GGA was carried out for crystalline Na2Li2PbO4 at its relaxed geometry.

Unit cell a=5.8766 b=5.8766 c=8.0088 alpha=126.20 beta=126.20 gamma=32.96
Element x y z (fractional)
Na (0.1780, 0.1780, 0.2862)
Na (0.8220, 0.8220, 0.7138)
Li (0.3433, 0.3433, 0.1188)
Li (0.6567, 0.6567, 0.8812)
Pb (0.0000, 0.0000, 0.5000)
O (0.2201, 0.2201, 0.8106)
O (0.4354, 0.4354, 0.6247)
O (0.5646, 0.5646, 0.3753)
O (0.7799, 0.7799, 0.1894)

Results
Total DFT energy (no corrections) = -43.3 eV per cell

No. 4
A plane-wave DFT calculation with PBE-GGA was carried out for crystalline Na4LiPb3O8 at its relaxed geometry.

Unit cell a=6.8105 b=6.8105 c=6.8105 alpha=59.25 beta=59.25 gamma=59.25
Element x y z (fractional)
Na (0.0000, 0.0000, 0.0000)
Na (0.0000, 0.5000, 0.5000)
Na (0.5000, 0.0000, 0.5000)
Na (0.5000, 0.5000, 0.0000)
Li (0.5000, 0.5000, 0.5000)
Pb (0.0000, 0.0000, 0.5000)
Pb (0.0000, 0.5000, 0.0000)
Pb (0.5000, 0.0000, 0.0000)
O (0.2264, 0.7438, 0.7438)
O (0.2438, 0.2438, 0.2438)
O (0.2562, 0.2562, 0.7736)
O (0.2562, 0.7736, 0.2562)
O (0.7438, 0.2264, 0.7438)
O (0.7438, 0.7438, 0.2264)
O (0.7562, 0.7562, 0.7562)
O (0.7736, 0.2562, 0.2562)

Results
Total DFT energy (no corrections) = -78.6 eV per cell

No. 5
A plane-wave DFT calculation with PBE-GGA was carried out for crystalline NaLiPdO3 at its relaxed geometry.

Unit cell a=5.6120 b=5.6120 c=7.8724 alpha=90.00 beta=90.00 gamma=146.79
Element x y z (fractional)
Na (0.2315, 0.7685, 0.7500)
Na (0.7685, 0.2315, 0.2500)
Li (0.0273, 0.9727, 0.2500)
Li (0.9727, 0.0273, 0.7500)
Pd (0.5000, 0.5000, 0.0000)
Pd (0.5000, 0.5000, 0.5000)
O (0.1175, 0.8825, 0.0451)
O (0.1175, 0.8825, 0.4549)
O (0.4336, 0.5664, 0.2500)
O (0.5664, 0.4336, 0.7500)
O (0.8825, 0.1175, 0.5451)
O (0.8825, 0.1175, 0.9549)

Results
Total DFT energy (no corrections) = -59.3 eV per cell

No. 6
A plane-wave DFT calculation with PBE-GGA was carried out for crystalline Na2Li2PdO4 at its relaxed geometry.

Unit cell a=6.0849 b=6.0849 c=6.0288 alpha=116.67 beta=116.67 gamma=30.34
Element x y z (fractional)
Na (0.1526, 0.1526, 0.0309)
Na (0.8474, 0.8474, 0.9691)
Li (0.3246, 0.3246, 0.5213)
Li (0.6754, 0.6754, 0.4787)
Pd (0.0000, 0.0000, 0.5000)
O (0.2024, 0.2024, 0.6696)
O (0.4951, 0.4951, 0.2727)
O (0.5049, 0.5049, 0.7273)
O (0.7976, 0.7976, 0.3304)

Results
Total DFT energy (no corrections) = -42.9 eV per cell

No. 7
A plane-wave DFT calculation with PBE-GGA was carried out for crystalline Na3LiPt3O8 at its relaxed geometry.

Unit cell a=6.4239 b=6.4239 c=6.4239 alpha=58.11 beta=58.11 gamma=58.11
Element x y z (fractional)
Na (0.0000, 0.5000, 0.5000)
Na (0.5000, 0.0000, 0.5000)
Na (0.5000, 0.5000, 0.0000)
Li (0.5000, 0.5000, 0.5000)
Pt (0.0000, 0.0000, 0.5000)
Pt (0.0000, 0.5000, 0.0000)
Pt (0.5000, 0.0000, 0.0000)
O (0.2245, 0.7364, 0.7364)
O (0.2286, 0.2286, 0.2286)
O (0.2636, 0.2636, 0.7755)
O (0.2636, 0.7755, 0.2636)
O (0.7364, 0.2245, 0.7364)
O (0.7364, 0.7364, 0.2245)
O (0.7714, 0.7714, 0.7714)
O (0.7755, 0.2636, 0.2636)

Results
Total DFT energy (no corrections) = -78.6 eV per cell

No. 8
A plane-wave DFT calculation with PBE-GGA was carried out for crystalline Na2Li2PtO6 at its relaxed geometry.

Unit cell a=5.1401 b=5.1401 c=5.4125 alpha=90.00 beta=90.00 gamma=120.00
Element x y z (fractional)
Na (0.3333, 0.6667, 0.0000)
Na (0.6667, 0.3333, 0.0000)
Li (0.3333, 0.6667, 0.5000)
Li (0.6667, 0.3333, 0.5000)
Pt (0.0000, 0.0000, 0.5000)
O (0.0000, 0.3131, 0.2991)
O (0.0000, 0.6869, 0.7009)
O (0.3131, 0.0000, 0.2991)
O (0.3131, 0.3131, 0.7009)
O (0.6869, 0.0000, 0.7009)
O (0.6869, 0.6869, 0.2991)

Results
Total DFT energy (no corrections) = -52.9 eV per cell

No. 9
A plane-wave DFT calculation with PBE-GGA was carried out for crystalline Na4LiPt3O8 at its relaxed geometry.

Unit cell a=6.4457 b=6.4457 c=6.3316 alpha=118.64 beta=118.64 gamma=58.20
Element x y z (fractional)
Na (0.0000, 0.0000, 0.0000)
Na (0.0000, 0.5000, 0.5000)
Na (0.5000, 0.0000, 0.5000)
Na (0.5000, 0.5000, 0.0000)
Li (0.0000, 0.0000, 0.5000)
Pt (0.0000, 0.5000, 0.0000)
Pt (0.5000, 0.0000, 0.0000)
Pt (0.5000, 0.5000, 0.5000)
O (0.2285, 0.7107, 0.2516)
O (0.2432, 0.2432, 0.2028)
O (0.2475, 0.2475, 0.7826)
O (0.2893, 0.7715, 0.7484)
O (0.7107, 0.2285, 0.2516)
O (0.7525, 0.7525, 0.2174)
O (0.7568, 0.7568, 0.7972)
O (0.7715, 0.2893, 0.7484)

Results
Total DFT energy (no corrections) = -82.4 eV per cell

No. 10
A plane-wave DFT calculation with PBE-GGA was carried out for crystalline Na2LiPtO4 at its relaxed geometry.

Unit cell a=5.9775 b=5.9775 c=5.6754 alpha=90.00 beta=90.00 gamma=90.00
Element x y z (fractional)
Na (0.0000, 0.5000, 0.0000)
Na (0.0000, 0.5000, 0.5000)
Na (0.5000, 0.0000, 0.0000)
Na (0.5000, 0.0000, 0.5000)
Li (0.0000, 0.0000, 0.0000)
Li (0.5000, 0.5000, 0.5000)
Pt (0.0000, 0.0000, 0.5000)
Pt (0.5000, 0.5000, 0.0000)
O (0.1584, 0.1584, 0.7446)
O (0.1584, 0.8416, 0.2554)
O (0.3416, 0.3416, 0.2446)
O (0.3416, 0.6584, 0.7554)
O (0.6584, 0.3416, 0.7554)
O (0.6584, 0.6584, 0.2446)
O (0.8416, 0.1584, 0.2554)
O (0.8416, 0.8416, 0.7446)

Results
Total DFT energy (no corrections) = -75.1 eV per cell

No. 11
A plane-wave DFT calculation with PBE-GGA was carried out for crystalline NaLiPtO2 at its relaxed geometry.

Unit cell a=3.3224 b=3.5792 c=5.7133 alpha=90.00 beta=104.54 gamma=90.00
Element x y z (fractional)
Na (0.0000, 0.0000, 0.0000)
Li (0.0000, 0.0000, 0.5000)
Pt (0.5000, 0.5000, 0.5000)
O (0.0987, 0.5000, 0.7290)
O (0.9013, 0.5000, 0.2710)

Results
Total DFT energy (no corrections) = -24.5 eV per cell

No. 12
A plane-wave DFT calculation with PBE-GGA was carried out for crystalline Na3LiPt2O6 at its relaxed geometry.

Unit cell a=5.4328 b=5.4328 c=5.5676 alpha=99.38 beta=99.38 gamma=119.97
Element x y z (fractional)
Na (0.0000, 0.0000, 0.0000)
Na (0.3390, 0.6610, 0.0000)
Na (0.6610, 0.3390, 0.0000)
Li (0.5000, 0.5000, 0.5000)
Pt (0.1669, 0.8331, 0.5000)
Pt (0.8331, 0.1669, 0.5000)
O (0.0846, 0.4323, 0.2970)
O (0.2211, 0.2211, 0.7026)
O (0.4323, 0.0846, 0.2970)
O (0.5677, 0.9154, 0.7030)
O (0.7789, 0.7789, 0.2974)
O (0.9154, 0.5677, 0.7030)

Results
Total DFT energy (no corrections) = -62.4 eV per cell

No. 13
A plane-wave DFT calculation with PBE-GGA was carried out for crystalline Na2Li2PtO4 at its relaxed geometry.

Unit cell a=6.1148 b=6.1148 c=6.1011 alpha=117.64 beta=117.64 gamma=30.49
Element x y z (fractional)
Na (0.1551, 0.1551, 0.0334)
Na (0.8449, 0.8449, 0.9666)
Li (0.3249, 0.3249, 0.5241)
Li (0.6751, 0.6751, 0.4759)
Pt (0.0000, 0.0000, 0.5000)
O (0.2034, 0.2034, 0.6671)
O (0.4916, 0.4916, 0.2742)
O (0.5084, 0.5084, 0.7258)
O (0.7966, 0.7966, 0.3329)

Results
Total DFT energy (no corrections) = -44.2 eV per cell

No. 14
A plane-wave DFT calculation with PBE-GGA was carried out for crystalline NaLi2PtO at its relaxed geometry.

Unit cell a=4.6463 b=4.6463 c=3.8287 alpha=90.00 beta=90.00 gamma=90.00
Element x y z (fractional)
Na (0.0000, 0.0000, 0.0000)
Li (0.0000, 0.5000, 0.0000)
Li (0.5000, 0.0000, 0.0000)
Pt (0.5000, 0.5000, 0.5000)
O (0.0000, 0.0000, 0.5000)

Results
Total DFT energy (no corrections) = -15.3 eV per cell

No. 15
A plane-wave DFT calculation with PBE-GGA was carried out for crystalline Na2Li2PuO4 at its relaxed geometry.

Unit cell a=5.8745 b=5.8745 c=7.9945 alpha=125.75 beta=125.75 gamma=33.81
Element x y z (fractional)
Na (0.1755, 0.1755, 0.2825)
Na (0.8245, 0.8245, 0.7175)
Li (0.3441, 0.3441, 0.1160)
Li (0.6559, 0.6559, 0.8840)
Pu (0.0000, 0.0000, 0.5000)
O (0.2182, 0.2182, 0.8092)
O (0.4374, 0.4374, 0.6222)
O (0.5626, 0.5626, 0.3778)
O (0.7818, 0.7818, 0.1908)

Results
Total DFT energy (no corrections) = -59.9 eV per cell

No. 16
A plane-wave DFT calculation with PBE-GGA was carried out for crystalline NaLiPu2O6 at its relaxed geometry.

Unit cell a=4.9978 b=4.9978 c=5.5684 alpha=90.00 beta=90.00 gamma=90.00
Element x y z (fractional)
Na (0.0000, 0.0000, 0.0000)
Li (0.5000, 0.5000, 0.0343)
Pu (0.0000, 0.5000, 0.4458)
Pu (0.5000, 0.0000, 0.4458)
O (0.0000, 0.0000, 0.6131)
O (0.2547, 0.2547, 0.2391)
O (0.2547, 0.7453, 0.2391)
O (0.5000, 0.5000, 0.6544)
O (0.7453, 0.2547, 0.2391)
O (0.7453, 0.7453, 0.2391)

Results
Total DFT energy (no corrections) = -82.3 eV per cell

No. 17
A plane-wave DFT calculation with PBE-GGA was carried out for crystalline NaLiPu2O8 at its relaxed geometry.

Unit cell a=5.7645 b=5.7645 c=5.9563 alpha=90.00 beta=90.00 gamma=120.00
Element x y z (fractional)
Na (0.0000, 0.0000, 0.0000)
Li (0.0000, 0.0000, 0.5000)
Pu (0.3333, 0.6667, 0.4293)
Pu (0.6667, 0.3333, 0.5707)
O (0.0581, 0.3697, 0.6446)
O (0.3115, 0.9419, 0.6446)
O (0.3333, 0.6667, 0.1190)
O (0.3697, 0.3115, 0.3554)
O (0.6303, 0.6885, 0.6446)
O (0.6667, 0.3333, 0.8810)
O (0.6885, 0.0581, 0.3554)
O (0.9419, 0.6303, 0.3554)

Results
Total DFT energy (no corrections) = -94.8 eV per cell

No. 18
A plane-wave DFT calculation with PBE-GGA was carried out for crystalline NaLi4Pu3O12 at its relaxed geometry.

Unit cell a=7.0749 b=7.0749 c=7.0749 alpha=106.77 beta=106.77 gamma=106.77
Element x y z (fractional)
Na (0.0000, 0.0000, 0.0000)
Li (0.0638, 0.5000, 0.9362)
Li (0.5000, 0.5000, 0.5000)
Li (0.5000, 0.9362, 0.0638)
Li (0.9362, 0.0638, 0.5000)
Pu (0.0000, 0.5602, 0.4398)
Pu (0.4398, 0.0000, 0.5602)
Pu (0.5602, 0.4398, 0.0000)
O (0.0461, 0.6377, 0.7406)
O (0.1070, 0.8930, 0.5000)
O (0.2594, 0.3623, 0.9538)
O (0.3339, 0.6661, 0.5000)
O (0.3623, 0.9539, 0.2594)
O (0.5000, 0.1070, 0.8930)
O (0.5000, 0.3339, 0.6661)
O (0.6377, 0.7406, 0.0461)
O (0.6661, 0.5000, 0.3339)
O (0.7406, 0.0461, 0.6377)
O (0.8930, 0.5000, 0.1070)
O (0.9538, 0.2594, 0.3623)

Results
Total DFT energy (no corrections) = -156.2 eV per cell

No. 19
A plane-wave DFT calculation with PBE-GGA was carried out for crystalline NaLi2PuO4 at its relaxed geometry.

Unit cell a=5.2986 b=3.3564 c=5.6216 alpha=90.00 beta=108.66 gamma=90.00
Element x y z (fractional)
Na (0.0000, 0.0000, 0.0000)
Li (0.5000, 0.0000, 0.5000)
Li (0.5000, 0.5000, 0.0000)
Pu (0.0000, 0.5000, 0.5000)
O (0.2333, 0.5000, 0.2861)
O (0.2502, 0.0000, 0.7270)
O (0.7498, 0.0000, 0.2730)
O (0.7667, 0.5000, 0.7139)

Results
Total DFT energy (no corrections) = -57.4 eV per cell

No. 20
A plane-wave DFT calculation with PBE-GGA was carried out for crystalline NaLiPuO4 at its relaxed geometry.

Unit cell a=6.5164 b=6.5164 c=6.5164 alpha=123.11 beta=116.33 gamma=90.58
Element x y z (fractional)
Na (0.5000, 0.0000, 0.0000)
Na (0.5000, 0.5000, 0.5000)
Li (0.1097, 0.3597, 0.7500)
Li (0.8903, 0.6403, 0.2500)
Pu (0.0000, 0.0000, 0.0000)
Pu (0.5000, 0.0000, 0.5000)
O (0.2053, 0.2076, 0.9977)
O (0.2471, 0.2168, 0.4697)
O (0.2471, 0.7775, 0.0303)
O (0.2902, 0.7924, 0.4977)
O (0.7098, 0.2076, 0.5023)
O (0.7529, 0.2225, 0.9697)
O (0.7529, 0.7832, 0.5303)
O (0.7947, 0.7924, 0.0023)

Results
Total DFT energy (no corrections) = -106.9 eV per cell

| no. | density (g/cm³) | V (A^3/atom) | total magnetization (μB/cell) |
| --- | --- | --- | --- |
| 1 | 5.23 | 12.862 | 2.00 |
| 2 | 4.83 | 13.247 | 2.06 |
| 3 | 4.64 | 13.172 | 0.00 |
| 4 | 6.42 | 13.722 | 0.00 |
| 5 | 4.51 | 11.315 | 0.00 |
| 6 | 3.83 | 11.090 | 0.00 |
| 7 | 7.31 | 11.955 | 0.00 |
| 8 | 4.71 | 11.259 | 0.81 |
| 9 | 7.21 | 11.683 | 1.04 |
| 10 | 5.11 | 12.674 | 2.05 |
| 11 | 6.49 | 13.153 | 0.00 |
| 12 | 6.93 | 11.216 | 0.00 |
| 13 | 5.22 | 11.277 | 0.00 |
| 14 | 4.98 | 16.531 | 0.57 |
| 15 | 5.02 | 13.507 | 4.00 |
| 16 | 7.33 | 13.909 | 6.00 |
| 17 | 6.26 | 14.284 | 2.00 |
| 18 | 5.45 | 14.839 | 5.00 |
| 19 | 6.05 | 11.840 | 3.00 |
| 20 | 5.74 | 13.974 | 4.00 |